Density functional theory data (PBE) for a geometry-optimized Sr7TeN6 structure.

Cell and atoms, written as POSCAR:
```
Sr7TeN6
1.0
8.4870 -1.2149 4.7226
-2.2410 8.3870 4.5214
-3.1258 -9.2733 -0.2076
N Sr Te
12 14 2
Direct
0.6887 0.0108 0.0863 N
0.3113 0.9892 0.9137 N
0.1887 0.1024 0.6780 N
0.0756 0.3976 0.0863 N
0.4244 0.5108 0.3220 N
0.8113 0.8976 0.3220 N
0.1478 0.3949 0.5427 N
0.5756 0.4892 0.6780 N
0.3522 0.8949 0.2471 N
0.8522 0.6051 0.4573 N
0.6478 0.1051 0.7529 N
0.9244 0.6024 0.9137 N
0.6524 0.7346 0.6474 Sr
0.9526 0.2779 0.2305 Sr
0.3476 0.2654 0.3526 Sr
0.2500 0.7500 0.5000 Sr
0.8476 0.4950 0.0823 Sr
0.9128 0.9950 0.6474 Sr
0.7500 0.2500 0.5000 Sr
0.0872 0.0050 0.3526 Sr
0.4128 0.7654 0.9177 Sr
0.4526 0.2221 0.6747 Sr
0.0474 0.7221 0.7695 Sr
0.1524 0.5050 0.9177 Sr
0.5872 0.2346 0.0823 Sr
0.5474 0.7779 0.3253 Sr
0.2500 0.2500 0.0000 Te
0.7500 0.7500 0.0000 Te
```

M_tot   1.581 μB/f.u.
ΔE_f (raw)   -0.36 eV/atom
Raw total energy   -139.9 eV for the cell shown


Density functional theory data (PBE) for a geometry-optimized Sr3TeN structure.

Cell and atoms, written as POSCAR:
```
Sr3TeN
1.0
-2.9194 2.5075 1.5817
-5.5498 -1.4415 -7.9579
-6.4158 -11.6201 6.5793
Sr Te N
12 4 4
Direct
0.2500 0.6909 0.9911 Sr
0.7500 0.4847 0.5953 Sr
0.2500 0.2597 0.7922 Sr
0.7500 0.8091 0.4911 Sr
0.7500 0.2403 0.2922 Sr
0.7500 0.3091 0.0089 Sr
0.2500 0.1909 0.5089 Sr
0.7500 0.9847 0.9047 Sr
0.2500 0.5153 0.4047 Sr
0.2500 0.0153 0.0953 Sr
0.7500 0.7403 0.2078 Sr
0.2500 0.7597 0.7078 Sr
0.2500 0.9657 0.3296 Te
0.2500 0.4657 0.1704 Te
0.7500 0.0343 0.6704 Te
0.7500 0.5343 0.8296 Te
0.7500 0.3392 0.4479 N
0.2500 0.1608 0.9479 N
0.2500 0.6608 0.5521 N
0.7500 0.8392 0.0521 N
```

M_tot   0.917 μB/f.u.
ΔE_f (raw)   -0.92 eV/atom
Raw total energy   -84.5 eV for the cell shown


Density functional theory data (PBE) for a geometry-optimized Sr3Te2N structure.

Cell and atoms, written as POSCAR:
```
Sr3Te2N
1.0
6.8069 0.0000 0.0000
0.0000 7.6975 0.0004
-3.4034 -1.9266 7.2114
Te Sr N
4 6 2
Direct
0.6803 0.5891 0.3577 Te
0.3197 0.4109 0.6423 Te
0.6774 0.0891 0.3577 Te
0.3226 0.9109 0.6423 Te
0.5843 0.7500 0.0000 Sr
0.1197 0.0607 0.2412 Sr
0.8803 0.9393 0.7588 Sr
0.1215 0.5607 0.2412 Sr
0.4157 0.2500 0.0000 Sr
0.8785 0.4393 0.7588 Sr
0.9422 0.7500 0.0000 N
0.0578 0.2500 0.0000 N
```

M_tot   0.219 μB/f.u.
ΔE_f (raw)   -1.05 eV/atom
Raw total energy   -52.0 eV for the cell shown